This record from Alexandria via LeMat-Bulk describes an optimized crystal structure of DyFeI. The functional is PBE.

Lattice parameters (Å, degrees): 12.531 12.531 12.531 18.20 18.20 18.20
Sites, in units of the cell vectors:
Dy1 0.052 0.052 0.052
Dy2 0.948 0.948 0.948
Fe1 0.334 0.334 0.334
Fe2 0.666 0.666 0.666
I1 0.223 0.223 0.223
I2 0.777 0.777 0.777

ΔE_f (raw)	-0.7023	eV/atom